Entry 1:
# KDyBr2

A relaxed KDyBr2 crystal (GGA-PBE, the Alexandria database).

a b c (Å): 3.8822 3.8822 32.5065
angles (deg): 90.00 90.00 120.00
Space group R-3m (No. 166, hexagonal axes)
Symmetry-distinct sites (fractional):
K: 0.0000 0.0000 0.0000 [3 per cell]
Dy: 0.0000 0.0000 0.5000 [3 per cell]
Br: 0.0000 0.0000 0.1080 [6 per cell]

- uncorrected formation energy (eV per atom) = -1.1300
- DFT total energy (eV/atom) = -3.3913

Entry 2:
# UBSe

A relaxed UBSe crystal (GGA-PBE, the Alexandria database).

a b c (Å): 4.402 18.617 3.366
angles (deg): 90.00 90.00 90.00
Space group Cmcm (No. 63)
Symmetry-distinct sites (fractional):
U: 0.000 0.056 0.250 [4 per cell]
B: 0.000 0.489 0.250 [4 per cell]
Se: 0.000 0.167 0.750 [4 per cell]

- uncorrected formation energy (eV per atom) = -0.3426
- DFT total energy (eV/atom) = -7.4927

Entry 3:
# Zr2SnAu

A relaxed Zr2SnAu crystal (GGA-PBE, the Alexandria database).

a b c (Å): 7.813 7.813 6.023
angles (deg): 90.00 90.00 90.00
Space group I-42d (No. 122)
Symmetry-distinct sites (fractional):
Zr: 0.233 0.250 0.125 [8 per cell]
Sn: 0.000 0.000 0.500 [4 per cell]
Au: 0.000 0.000 0.000 [4 per cell]

- DFT total energy (eV/atom) = -6.3063
- E_form (meV/atom) = -212

Entry 4:
# BaLi2AcAs2

A relaxed BaLi2AcAs2 crystal (GGA-PBE, the Alexandria database).

a b c (Å): 4.5026 4.5026 8.9472
angles (deg): 90.00 90.00 120.00
Space group P-3m1 (No. 164)
Symmetry-distinct sites (fractional):
Ba: 0.0000 0.0000 0.0000 [1 per cell]
Li: 0.3333 0.6667 0.7425 [2 per cell]
Ac: 0.0000 0.0000 0.5000 [1 per cell]
As: 0.3333 0.6667 0.2686 [2 per cell]

- DFT total energy (eV/atom) = -4.1638
- E_form (meV/atom) = -971

Entry 5:
# Rb2SrBAu

A relaxed Rb2SrBAu crystal (GGA-PBE, the Alexandria database).

a b c (Å): 7.236 7.236 4.863
angles (deg): 90.00 90.00 90.00
Space group P4/mmm (No. 123)
Symmetry-distinct sites (fractional):
Rb: 0.000 0.500 0.000 [2 per cell]
Sr: 0.000 0.000 0.000 [1 per cell]
B: 0.000 0.000 0.500 [1 per cell]
Au: 0.500 0.500 0.500 [1 per cell]

- DFT total energy (eV/atom) = -1.6655
- E_form (meV/atom) = 1049

Entry 6:
# Pm2Rh3

A relaxed Pm2Rh3 crystal (GGA-PBE, the Alexandria database).

a b c (Å): 4.553 5.462 8.377
angles (deg): 90.00 90.00 90.00
Space group Immm (No. 71)
Symmetry-distinct sites (fractional):
Pm: 0.000 0.000 0.203 [4 per cell]
Rh: 0.000 0.259 0.500 [4 per cell]
Rh: 0.000 0.500 0.000 [2 per cell]

- DFT total energy (eV/atom) = -6.9457
- E_form (meV/atom) = -635